Record 1
Below is a geometry-optimized EuSnAsAu structure, with properties calculated at the PBE-GGA level.

Results
Formation enthalpy at 0 K, eV/atom: -0.513
Space-group type: No. 216
VASP energy, eV per atom: -6.06

abc: 5.157 5.157 5.157
angles: 60.00 60.00 60.00
Sites, in units of the cell vectors:
Eu  0.000  0.000  0.000
Sn  0.500  0.500  0.500
As  0.250  0.250  0.250
Au  0.750  0.750  0.750



Record 2
Below is a geometry-optimized SrEuAsAu structure, with properties calculated at the PBE-GGA level.

Results
Formation enthalpy at 0 K, eV/atom: -0.977
Space-group type: No. 216
VASP energy, eV per atom: -5.95

abc: 5.344 5.344 5.344
angles: 60.00 60.00 60.00
Sites, in units of the cell vectors:
Sr  0.000  0.000  0.000
Eu  0.500  0.500  0.500
As  0.750  0.750  0.750
Au  0.250  0.250  0.250



Record 3
Below is a geometry-optimized AsAu2F structure, with properties calculated at the PBE-GGA level.

Results
Excess energy over the best structure of this formula in the dataset, eV/atom: 0.0440
Space-group type: No. 225
VASP energy, eV per atom: -3.43

abc: 4.524 4.524 4.524
angles: 60.00 60.00 60.00
Sites, in units of the cell vectors:
As  0.000  0.000  0.000
Au  0.250  0.250  0.250
Au  0.750  0.750  0.750
F  0.500  0.500  0.500



Record 4
Below is a geometry-optimized AsAuF6 structure, with properties calculated at the PBE-GGA level.

Results
Space-group type: No. 15
VASP energy, eV per atom: -4.03

abc: 5.574 5.574 9.362
angles: 92.10 92.10 64.49
Sites, in units of the cell vectors:
As  0.000  0.500  0.000
As  0.500  0.000  0.500
Au  0.115  0.885  0.750
Au  0.885  0.115  0.250
F  0.130  0.628  0.143
F  0.171  0.192  0.561
F  0.192  0.171  0.061
F  0.267  0.473  0.890
F  0.372  0.870  0.357
F  0.473  0.267  0.390
F  0.527  0.733  0.610
F  0.628  0.130  0.643
F  0.733  0.527  0.110
F  0.808  0.829  0.939
F  0.829  0.808  0.439
F  0.870  0.372  0.857



Record 5
Below is a geometry-optimized AsAu2F structure, with properties calculated at the PBE-GGA level.

Results
Excess energy over the best structure of this formula in the dataset, eV/atom: 0.0000
Space-group type: No. 122
VASP energy, eV per atom: -3.48

abc: 5.738 5.738 5.738
angles: 104.05 104.05 120.97
Sites, in units of the cell vectors:
As  0.000  0.000  0.000
As  0.750  0.250  0.500
Au  0.125  0.125  0.500
Au  0.375  0.875  0.000
Au  0.625  0.625  0.500
Au  0.875  0.375  0.000
F  0.250  0.750  0.500
F  0.500  0.500  0.000



Record 6
Below is a geometry-optimized AsAuF2 structure, with properties calculated at the PBE-GGA level.

Results
Excess energy over the best structure of this formula in the dataset, eV/atom: 0.2620
Space-group type: No. 122
VASP energy, eV per atom: -3.58

abc: 8.321 8.321 8.321
angles: 152.95 152.95 38.63
Sites, in units of the cell vectors:
As  0.000  0.000  0.000
As  0.750  0.250  0.500
Au  0.250  0.750  0.500
Au  0.500  0.500  0.000
F  0.076  0.625  0.951
F  0.375  0.326  0.451
F  0.674  0.125  0.049
F  0.875  0.924  0.549



Record 7
Below is a geometry-optimized As2AuF structure, with properties calculated at the PBE-GGA level.

Results
Excess energy over the best structure of this formula in the dataset, eV/atom: 0.1064
Space-group type: No. 122
VASP energy, eV per atom: -3.82

abc: 8.787 8.787 8.787
angles: 152.12 152.12 39.84
Sites, in units of the cell vectors:
As  0.065  0.625  0.940
As  0.375  0.315  0.440
As  0.685  0.125  0.060
As  0.875  0.935  0.560
Au  0.250  0.750  0.500
Au  0.500  0.500  0.000
F  0.000  0.000  0.000
F  0.750  0.250  0.500



Record 8
Below is a geometry-optimized AsAuF3 structure, with properties calculated at the PBE-GGA level.

Results
Excess energy over the best structure of this formula in the dataset, eV/atom: 0.0000
Space-group type: No. 221
VASP energy, eV per atom: -3.62

abc: 4.258 4.258 4.258
angles: 90.00 90.00 90.00
Sites, in units of the cell vectors:
As  0.000  0.000  0.000
Au  0.500  0.500  0.500
F  0.000  0.000  0.500
F  0.000  0.500  0.000
F  0.500  0.000  0.000



Which of these has the highest VASP energy? number 3



Which of these has the lowest VASP energy? EuSnAsAu